Record 1
Below is a relaxed Ce5HSe5 crystal, with properties calculated at the GGA-PBE level. Values from VASP.

The structure in Quantum ESPRESSO input format:
```
&SYSTEM
  ibrav = 0, nat = 11, ntyp = 3
/
ATOMIC_SPECIES
Ce 140.12 Ce.upf
Se 78.96 Se.upf
H 1.01 H.upf
CELL_PARAMETERS angstrom
5.874 0.000 0.000
-2.937 6.518 -0.089
0.000 -2.551 7.838
ATOMIC_POSITIONS crystal
Ce 0.158 0.317 0.838
Se 0.327 0.653 0.664
Ce 0.842 0.683 0.162
Ce 0.840 0.680 0.677
Se 0.000 0.000 0.500
Se 0.673 0.347 0.336
Ce 0.500 0.000 0.000
Ce 0.160 0.320 0.323
H 0.000 0.000 0.000
Se 0.337 0.673 0.174
Se 0.663 0.327 0.826
```

Summary:
**Energy**: -6.0191 eV per atom
**SG**: C2/m


Record 2
Below is a relaxed Nd4Tl3Zn crystal, with properties calculated at the GGA-PBE level. Values from VASP.

The structure in Quantum ESPRESSO input format:
```
&SYSTEM
  ibrav = 0, nat = 8, ntyp = 3
/
ATOMIC_SPECIES
Nd 144.24 Nd.upf
Tl 204.38 Tl.upf
Zn 65.41 Zn.upf
CELL_PARAMETERS angstrom
-0.066 -0.876 -3.657
3.636 -0.951 0.163
-4.136 -15.184 3.711
ATOMIC_POSITIONS crystal
Nd 0.000 0.000 0.631
Tl 0.500 0.500 0.762
Tl 0.500 0.500 0.238
Nd 0.000 0.000 0.109
Tl 0.500 0.500 0.500
Zn 0.500 0.500 0.000
Nd 0.000 0.000 0.369
Nd 0.000 0.000 0.891
```

Summary:
**Excess energy over the best structure of this formula in the dataset**: 0 meV/atom
**SG**: P4/mmm
**Energy relative to the elements**: -3.00 eV per formula unit


Record 3
Below is a relaxed CrReNi2 crystal, with properties calculated at the GGA-PBE level. Values from VASP.

The structure in Quantum ESPRESSO input format:
```
&SYSTEM
  ibrav = 0, nat = 4, ntyp = 3
/
ATOMIC_SPECIES
Cr 52.00 Cr.upf
Ni 58.69 Ni.upf
Re 186.21 Re.upf
CELL_PARAMETERS angstrom
3.801 0.000 0.000
0.000 2.546 0.009
0.000 2.527 5.032
ATOMIC_POSITIONS crystal
Cr 0.500 0.750 0.750
Ni 0.000 0.497 0.503
Re 0.500 0.250 0.250
Ni 0.000 0.003 0.997
```

Summary:
**Excess energy over the best structure of this formula in the dataset**: 61 meV/atom
**SG**: Pmmm
**Energy relative to the elements**: 0.26 eV per formula unit


Record 4
Below is a relaxed NbInOs crystal, with properties calculated at the GGA-PBE level. Values from VASP.

The structure in Quantum ESPRESSO input format:
```
&SYSTEM
  ibrav = 0, nat = 3, ntyp = 3
/
ATOMIC_SPECIES
In 114.82 In.upf
Os 190.23 Os.upf
Nb 92.91 Nb.upf
CELL_PARAMETERS angstrom
3.126 0.000 0.000
0.000 3.126 0.000
-1.563 -1.563 5.543
ATOMIC_POSITIONS crystal
In 0.007 0.007 0.013
Os 0.680 0.680 0.360
Nb 0.314 0.314 0.627
```

Summary:
**SG**: I4mm
**Energy relative to the elements**: 0.08 eV per formula unit